(a)
# ReTcW

Crystalline ReTcW at its relaxed geometry (PBE-GGA, Alexandria via LeMat-Bulk).

Geometry as POSCAR:
```
ReTcW
1.0
2.7758 0.0000 0.0000
0.0000 2.7758 0.0000
0.0000 0.0000 11.9625
Re Tc W
2 2 2
Direct
0.0000 0.0000 0.0000 Re
0.5000 0.5000 0.5000 Re
0.0000 0.0000 0.6523 Tc
0.5000 0.5000 0.1523 Tc
0.0000 0.0000 0.3252 W
0.5000 0.5000 0.8252 W
```

(b)
# ReTcW

Crystalline ReTcW at its relaxed geometry (PBE-GGA, Alexandria via LeMat-Bulk).

Geometry as POSCAR:
```
ReTcW
1.0
3.1431 0.0000 0.0000
0.0000 4.4608 0.0000
0.0000 0.0000 13.1374
Re Tc W
4 4 4
Direct
0.0000 0.0000 0.0000 Re
0.0000 0.5000 0.5000 Re
0.5000 0.0000 0.5000 Re
0.5000 0.5000 0.0000 Re
0.0000 0.0000 0.3333 Tc
0.0000 0.5000 0.8333 Tc
0.5000 0.0000 0.8333 Tc
0.5000 0.5000 0.3333 Tc
0.0000 0.0000 0.6671 W
0.0000 0.5000 0.1671 W
0.5000 0.0000 0.1671 W
0.5000 0.5000 0.6671 W
```

(c)
# ReTcW

Crystalline ReTcW at its relaxed geometry (PBE-GGA, Alexandria via LeMat-Bulk).

Geometry as POSCAR:
```
ReTcW
1.0
0.0000 5.1181 4.0070
4.6037 0.0000 4.0070
4.6037 5.1181 0.0000
Re Tc W
4 4 4
Direct
0.0684 0.9316 0.3093 Re
0.5593 0.9407 0.3184 Re
0.9316 0.0684 0.6907 Re
0.9407 0.5593 0.1816 Re
0.2202 0.6035 0.6589 Tc
0.5911 0.7325 0.0298 Tc
0.6035 0.2202 0.5175 Tc
0.7325 0.5911 0.6465 Tc
0.2569 0.4043 0.3669 W
0.2781 0.8831 0.8457 W
0.4043 0.2569 0.9719 W
0.8831 0.2781 0.9931 W
```

(d)
# ReTcW

Crystalline ReTcW at its relaxed geometry (PBE-GGA, Alexandria via LeMat-Bulk).

Geometry as POSCAR:
```
ReTcW
1.0
2.7904 0.0000 0.0000
0.0000 3.9362 0.0000
0.0000 0.0000 8.3727
Re Tc W
2 2 2
Direct
0.0000 0.0000 0.0000 Re
0.5000 0.5000 0.5000 Re
0.0000 0.0000 0.6598 Tc
0.5000 0.5000 0.1598 Tc
0.0000 0.0000 0.3294 W
0.5000 0.5000 0.8294 W
```

The least stable of them is (c).

(a)
# Re2TcW

Crystalline Re2TcW at its relaxed geometry (PBE-GGA, Alexandria via LeMat-Bulk).

Geometry as POSCAR:
```
Re2TcW
1.0
3.9300 0.0000 0.0000
0.0000 3.9300 0.0000
0.0000 0.0000 3.9472
Re Tc W
2 1 1
Direct
0.0000 0.5000 0.0000 Re
0.5000 0.0000 0.0000 Re
0.0000 0.0000 0.5000 Tc
0.5000 0.5000 0.5000 W
```

(b)
# Re2TcW

Crystalline Re2TcW at its relaxed geometry (PBE-GGA, Alexandria via LeMat-Bulk).

Geometry as POSCAR:
```
Re2TcW
1.0
5.5750 0.0000 0.0000
0.0000 7.8620 0.0000
0.0000 0.0000 2.7828
Re Tc W
4 2 2
Direct
0.2500 0.2500 0.0000 Re
0.2500 0.7500 0.0000 Re
0.7500 0.2500 0.0000 Re
0.7500 0.7500 0.0000 Re
0.0000 0.0000 0.5000 Tc
0.5000 0.5000 0.5000 Tc
0.0000 0.5000 0.5000 W
0.5000 0.0000 0.5000 W
```

The least stable of them is (b).

(a)
# ReTcW4

Crystalline ReTcW4 at its relaxed geometry (PBE-GGA, Alexandria via LeMat-Bulk).

Geometry as POSCAR:
```
ReTcW4
1.0
4.4624 0.0000 0.0000
0.0000 9.4662 0.0000
0.0000 0.0000 4.4750
Re Tc W
2 2 8
Direct
0.0000 0.0000 0.0000 Re
0.5000 0.5000 0.0000 Re
0.0000 0.5000 0.5000 Tc
0.5000 0.0000 0.5000 Tc
0.0000 0.1687 0.5000 W
0.0000 0.3320 0.0000 W
0.0000 0.6680 0.0000 W
0.0000 0.8313 0.5000 W
0.5000 0.1680 0.0000 W
0.5000 0.3313 0.5000 W
0.5000 0.6687 0.5000 W
0.5000 0.8320 0.0000 W
```

(b)
# ReTcW4

Crystalline ReTcW4 at its relaxed geometry (PBE-GGA, Alexandria via LeMat-Bulk).

Geometry as POSCAR:
```
ReTcW4
1.0
0.0000 3.6653 3.6653
3.6653 0.0000 3.6653
3.6653 3.6653 0.0000
Re Tc W
1 1 4
Direct
0.0000 0.0000 0.0000 Re
0.7500 0.7500 0.7500 Tc
0.3749 0.3749 0.3749 W
0.3749 0.3749 0.8754 W
0.3749 0.8754 0.3749 W
0.8754 0.3749 0.3749 W
```

The least stable of them is (b).

(a)
# YRe2Tc2

Crystalline YRe2Tc2 at its relaxed geometry (PBE-GGA, Alexandria via LeMat-Bulk).

Geometry as POSCAR:
```
YRe2Tc2
1.0
4.2929 0.0000 0.0000
0.0000 4.2929 0.0000
0.0000 0.0000 10.3890
Y Re Tc
2 4 4
Direct
0.0000 0.0000 0.0000 Y
0.5000 0.5000 0.5000 Y
0.0000 0.5000 0.2500 Re
0.0000 0.5000 0.7500 Re
0.5000 0.0000 0.2500 Re
0.5000 0.0000 0.7500 Re
0.0000 0.0000 0.3765 Tc
0.0000 0.0000 0.6235 Tc
0.5000 0.5000 0.1235 Tc
0.5000 0.5000 0.8765 Tc
```

(b)
# YRe2Tc2

Crystalline YRe2Tc2 at its relaxed geometry (PBE-GGA, Alexandria via LeMat-Bulk).

Geometry as POSCAR:
```
YRe2Tc2
1.0
7.8010 0.0000 0.0000
0.0000 7.8010 0.0000
0.0000 0.0000 2.8141
Y Re Tc
2 4 4
Direct
0.0000 0.0000 0.0000 Y
0.5000 0.5000 0.0000 Y
0.1637 0.3363 0.5000 Re
0.3363 0.8363 0.5000 Re
0.6637 0.1637 0.5000 Re
0.8363 0.6637 0.5000 Re
0.1272 0.6272 0.0000 Tc
0.3728 0.1272 0.0000 Tc
0.6272 0.8728 0.0000 Tc
0.8728 0.3728 0.0000 Tc
```

The least stable of them is (b).

(a)
# YReTc3

Crystalline YReTc3 at its relaxed geometry (PBE-GGA, Alexandria via LeMat-Bulk).

Geometry as POSCAR:
```
YReTc3
1.0
4.7264 0.0000 0.0000
0.0000 4.7264 0.0000
0.0000 0.0000 4.7264
Y Re Tc
1 1 3
Direct
0.0000 0.0000 0.0000 Y
0.5000 0.5000 0.5000 Re
0.0000 0.5000 0.5000 Tc
0.5000 0.0000 0.5000 Tc
0.5000 0.5000 0.0000 Tc
```

(b)
# YReTc3

Crystalline YReTc3 at its relaxed geometry (PBE-GGA, Alexandria via LeMat-Bulk).

Geometry as POSCAR:
```
YReTc3
1.0
4.6358 0.0000 0.0000
0.0000 4.6358 0.0000
0.0000 0.0000 4.6358
Y Re Tc
1 1 3
Direct
0.0000 0.0000 0.0000 Y
0.5000 0.5000 0.5000 Re
0.0000 0.0000 0.5000 Tc
0.0000 0.5000 0.0000 Tc
0.5000 0.0000 0.0000 Tc
```

The least stable of them is (b).

(a)
# Zn2ReTc

Crystalline Zn2ReTc at its relaxed geometry (PBE-GGA, Alexandria via LeMat-Bulk).

Geometry as POSCAR:
```
Zn2ReTc
1.0
8.8737 0.0000 0.0000
0.0000 2.7457 0.0000
-0.6110 0.0000 4.7663
Zn Re Tc
4 2 2
Direct
0.0000 0.0000 0.0000 Zn
0.2462 0.0000 0.7892 Zn
0.5000 0.5000 0.0000 Zn
0.7462 0.5000 0.7892 Zn
0.4975 0.0000 0.4970 Re
0.9975 0.5000 0.4970 Re
0.2483 0.5000 0.2927 Tc
0.7483 0.0000 0.2927 Tc
```

(b)
# Zn2ReTc

Crystalline Zn2ReTc at its relaxed geometry (PBE-GGA, Alexandria via LeMat-Bulk).

Geometry as POSCAR:
```
Zn2ReTc
1.0
2.7708 0.0000 0.0000
-1.3854 2.3996 0.0000
0.0000 0.0000 26.9763
Zn Re Tc
6 3 3
Direct
0.0000 0.0000 0.0000 Zn
0.0000 0.0000 0.2449 Zn
0.3333 0.6667 0.6667 Zn
0.3333 0.6667 0.9116 Zn
0.6667 0.3333 0.3333 Zn
0.6667 0.3333 0.5782 Zn
0.0000 0.0000 0.7509 Re
0.3333 0.6667 0.4175 Re
0.6667 0.3333 0.0842 Re
0.0000 0.0000 0.4946 Tc
0.3333 0.6667 0.1613 Tc
0.6667 0.3333 0.8280 Tc
```

The least stable of them is (a).

(a)
# Zn2ReTc

Crystalline Zn2ReTc at its relaxed geometry (PBE-GGA, Alexandria via LeMat-Bulk).

Geometry as POSCAR:
```
Zn2ReTc
1.0
3.1007 0.0000 0.0000
0.0000 4.2762 0.0000
0.0000 0.0000 4.3793
Zn Re Tc
2 1 1
Direct
0.0000 0.0000 0.0000 Zn
0.5000 0.5000 0.0000 Zn
0.0000 0.5000 0.5000 Re
0.5000 0.0000 0.5000 Tc
```

(b)
# Zn2ReTc

Crystalline Zn2ReTc at its relaxed geometry (PBE-GGA, Alexandria via LeMat-Bulk).

Geometry as POSCAR:
```
Zn2ReTc
1.0
4.6670 0.0000 0.0000
0.0000 4.6670 0.0000
0.0000 0.0000 2.6406
Zn Re Tc
2 1 1
Direct
0.0000 0.5000 0.0000 Zn
0.5000 0.0000 0.0000 Zn
0.0000 0.0000 0.5000 Re
0.5000 0.5000 0.5000 Tc
```

The least stable of them is (b).

(a)
# ZnRe3Tc

Crystalline ZnRe3Tc at its relaxed geometry (PBE-GGA, Alexandria via LeMat-Bulk).

Geometry as POSCAR:
```
ZnRe3Tc
1.0
4.6753 0.0000 0.0000
0.0000 4.6753 0.0000
0.0000 0.0000 4.6753
Zn Re Tc
1 3 1
Direct
0.0000 0.0000 0.0000 Zn
0.0000 0.5000 0.5000 Re
0.5000 0.0000 0.5000 Re
0.5000 0.5000 0.0000 Re
0.5000 0.5000 0.5000 Tc
```

(b)
# ZnRe3Tc

Crystalline ZnRe3Tc at its relaxed geometry (PBE-GGA, Alexandria via LeMat-Bulk).

Geometry as POSCAR:
```
ZnRe3Tc
1.0
4.4142 0.0000 0.0000
0.0000 4.4142 0.0000
0.0000 0.0000 4.4142
Zn Re Tc
1 3 1
Direct
0.0000 0.0000 0.0000 Zn
0.0000 0.0000 0.5000 Re
0.0000 0.5000 0.0000 Re
0.5000 0.0000 0.0000 Re
0.5000 0.5000 0.5000 Tc
```

The least stable of them is (a).

(a)
# ZrRe3Tc

Crystalline ZrRe3Tc at its relaxed geometry (PBE-GGA, Alexandria via LeMat-Bulk).

Geometry as POSCAR:
```
ZrRe3Tc
1.0
4.6848 0.0000 0.0000
0.0000 4.6848 0.0000
0.0000 0.0000 4.6848
Zr Re Tc
1 3 1
Direct
0.0000 0.0000 0.0000 Zr
0.0000 0.0000 0.5000 Re
0.0000 0.5000 0.0000 Re
0.5000 0.0000 0.0000 Re
0.5000 0.5000 0.5000 Tc
```

(b)
# ZrRe3Tc

Crystalline ZrRe3Tc at its relaxed geometry (PBE-GGA, Alexandria via LeMat-Bulk).

Geometry as POSCAR:
```
ZrRe3Tc
1.0
4.6558 0.0000 0.0000
0.0000 4.6558 0.0000
0.0000 0.0000 4.6558
Zr Re Tc
1 3 1
Direct
0.0000 0.0000 0.0000 Zr
0.0000 0.5000 0.5000 Re
0.5000 0.0000 0.5000 Re
0.5000 0.5000 0.0000 Re
0.5000 0.5000 0.5000 Tc
```

The least stable of them is (a).

(a)
# Zr4ReTc

Crystalline Zr4ReTc at its relaxed geometry (PBE-GGA, Alexandria via LeMat-Bulk).

Geometry as POSCAR:
```
Zr4ReTc
1.0
0.0000 3.9059 3.9059
3.9059 0.0000 3.9059
3.9059 3.9059 0.0000
Zr Re Tc
4 1 1
Direct
0.1249 0.1249 0.1249 Zr
0.1249 0.1249 0.6253 Zr
0.1249 0.6253 0.1249 Zr
0.6253 0.1249 0.1249 Zr
0.7500 0.7500 0.7500 Re
0.5000 0.5000 0.5000 Tc
```

(b)
# Zr4ReTc

Crystalline Zr4ReTc at its relaxed geometry (PBE-GGA, Alexandria via LeMat-Bulk).

Geometry as POSCAR:
```
Zr4ReTc
1.0
3.3337 0.0000 0.0000
0.0000 3.3337 0.0000
0.0000 0.0000 10.6024
Zr Re Tc
4 1 1
Direct
0.0000 0.0000 0.1488 Zr
0.0000 0.0000 0.8512 Zr
0.5000 0.5000 0.3502 Zr
0.5000 0.5000 0.6498 Zr
0.0000 0.0000 0.5000 Re
0.5000 0.5000 0.0000 Tc
```

The least stable of them is (a).

(a)
# ReTe

Crystalline ReTe at its relaxed geometry (PBE-GGA, Alexandria via LeMat-Bulk).

Geometry as POSCAR:
```
ReTe
1.0
3.1278 0.0000 0.0000
-1.5639 2.7088 0.0000
0.0000 0.0000 30.4742
Re Te
6 6
Direct
0.0000 0.0000 0.1330 Re
0.0000 0.0000 0.8670 Re
0.3333 0.6667 0.5336 Re
0.3333 0.6667 0.7997 Re
0.6667 0.3333 0.2003 Re
0.6667 0.3333 0.4664 Re
0.0000 0.0000 0.3978 Te
0.0000 0.0000 0.6022 Te
0.3333 0.6667 0.0645 Te
0.3333 0.6667 0.2689 Te
0.6667 0.3333 0.7311 Te
0.6667 0.3333 0.9355 Te
```

(b)
# ReTe

Crystalline ReTe at its relaxed geometry (PBE-GGA, Alexandria via LeMat-Bulk).

Geometry as POSCAR:
```
ReTe
1.0
3.2235 0.0000 0.0000
-1.6117 2.7916 0.0000
0.0000 0.0000 12.3400
Re Te
3 3
Direct
0.0000 0.0000 0.0000 Re
0.3333 0.6667 0.6667 Re
0.6667 0.3333 0.3333 Re
0.0000 0.0000 0.5000 Te
0.3333 0.6667 0.1667 Te
0.6667 0.3333 0.8333 Te
```

(c)
# ReTe

Crystalline ReTe at its relaxed geometry (PBE-GGA, Alexandria via LeMat-Bulk).

Geometry as POSCAR:
```
ReTe
1.0
7.3304 0.0000 0.0000
0.0000 7.3304 0.0000
0.0000 0.0000 7.3304
Re Te
6 6
Direct
0.0000 0.2500 0.5000 Re
0.0000 0.7500 0.5000 Re
0.2500 0.5000 0.0000 Re
0.5000 0.0000 0.2500 Re
0.5000 0.0000 0.7500 Re
0.7500 0.5000 0.0000 Re
0.0000 0.5000 0.2500 Te
0.0000 0.5000 0.7500 Te
0.2500 0.0000 0.5000 Te
0.5000 0.2500 0.0000 Te
0.5000 0.7500 0.0000 Te
0.7500 0.0000 0.5000 Te
```

The least stable of them is (c).

(a)
# ReTe

Crystalline ReTe at its relaxed geometry (PBE-GGA, Alexandria via LeMat-Bulk).

Geometry as POSCAR:
```
ReTe
1.0
6.7681 0.0000 0.0000
0.0000 6.7681 0.0000
0.0000 0.0000 6.7681
Re Te
8 8
Direct
0.1250 0.1250 0.1250 Re
0.1250 0.6250 0.6250 Re
0.3750 0.3750 0.8750 Re
0.3750 0.8750 0.3750 Re
0.6250 0.1250 0.6250 Re
0.6250 0.6250 0.1250 Re
0.8750 0.3750 0.3750 Re
0.8750 0.8750 0.8750 Re
0.1250 0.1250 0.6250 Te
0.1250 0.6250 0.1250 Te
0.3750 0.3750 0.3750 Te
0.3750 0.8750 0.8750 Te
0.6250 0.1250 0.1250 Te
0.6250 0.6250 0.6250 Te
0.8750 0.3750 0.8750 Te
0.8750 0.8750 0.3750 Te
```

(b)
# ReTe

Crystalline ReTe at its relaxed geometry (PBE-GGA, Alexandria via LeMat-Bulk).

Geometry as POSCAR:
```
ReTe
1.0
3.2590 0.0000 0.0000
-1.6295 2.8223 0.0000
0.0000 0.0000 9.6748
Re Te
2 2
Direct
0.3333 0.6667 0.0994 Re
0.6667 0.3333 0.9006 Re
0.3333 0.6667 0.6987 Te
0.6667 0.3333 0.3013 Te
```

The least stable of them is (a).

(a)
# ReTe

Crystalline ReTe at its relaxed geometry (PBE-GGA, Alexandria via LeMat-Bulk).

Geometry as POSCAR:
```
ReTe
1.0
3.4036 0.0000 0.0000
0.0000 4.5271 0.0000
0.0000 0.0000 11.2740
Re Te
4 4
Direct
0.0000 0.2500 0.1745 Re
0.0000 0.7500 0.8255 Re
0.5000 0.2500 0.3255 Re
0.5000 0.7500 0.6745 Re
0.0000 0.2500 0.6007 Te
0.0000 0.7500 0.3993 Te
0.5000 0.2500 0.8993 Te
0.5000 0.7500 0.1007 Te
```

(b)
# ReTe

Crystalline ReTe at its relaxed geometry (PBE-GGA, Alexandria via LeMat-Bulk).

Geometry as POSCAR:
```
ReTe
1.0
5.5745 0.0000 0.0000
0.0000 5.5745 0.0000
0.0000 0.0000 5.5745
Re Te
4 4
Direct
0.0000 0.0000 0.0000 Re
0.0000 0.5000 0.5000 Re
0.5000 0.0000 0.5000 Re
0.5000 0.5000 0.0000 Re
0.0000 0.0000 0.5000 Te
0.0000 0.5000 0.0000 Te
0.5000 0.0000 0.0000 Te
0.5000 0.5000 0.5000 Te
```

The least stable of them is (b).